No. 1
A relaxed ScPaFeRu crystal. Source: Alexandria via LeMat-Bulk, functional PBE-GGA.

## Properties
For the formation energy, the calculation gives -0.296 eV/atom. For the total energy, the calculation gives -8.69 eV per atom. Its density of states at the Fermi level is 13.4 states/eV per cell.

a b c (Å): 6.5900 6.5900 6.5900
angles (deg): 90.00 90.00 90.00
With the nearest neighbours (Å) after each atom.
Element x y z (fractional)
Sc1 0.0000 0.0000 0.0000  4 Fe 2.85, 4 Ru 2.85
Sc2 0.0000 0.5000 0.5000  4 Fe 2.85, 4 Ru 2.85
Sc3 0.5000 0.0000 0.5000  4 Fe 2.85, 4 Ru 2.85
Sc4 0.5000 0.5000 0.0000  4 Fe 2.85, 4 Ru 2.85
Pa1 0.0000 0.0000 0.5000  4 Ru 2.85, 4 Fe 2.85
Pa2 0.0000 0.5000 0.0000  4 Ru 2.85, 4 Fe 2.85
Pa3 0.5000 0.0000 0.0000  4 Ru 2.85, 4 Fe 2.85
Pa4 0.5000 0.5000 0.5000  4 Fe 2.85, 4 Ru 2.85
Fe1 0.2500 0.2500 0.2500  4 Pa 2.85, 4 Sc 2.85
Fe2 0.2500 0.7500 0.7500  4 Pa 2.85, 4 Sc 2.85
Fe3 0.7500 0.2500 0.7500  4 Pa 2.85, 4 Sc 2.85
Fe4 0.7500 0.7500 0.2500  4 Pa 2.85, 4 Sc 2.85
Ru1 0.2500 0.2500 0.7500  4 Pa 2.85, 4 Sc 2.85
Ru2 0.2500 0.7500 0.2500  4 Pa 2.85, 4 Sc 2.85
Ru3 0.7500 0.2500 0.2500  4 Pa 2.85, 4 Sc 2.85
Ru4 0.7500 0.7500 0.7500  4 Pa 2.85, 4 Sc 2.85

No. 2
A relaxed PaFeSi2Ru crystal. Source: Alexandria via LeMat-Bulk, functional PBE-GGA.

## Properties
Its formation energy from raw total energies is -3.71 eV/f.u. For the total energy, the calculation gives -8.36 eV per atom. Its density of states at the Fermi level is 6.8 states/eV per cell.

a b c (Å): 4.0782 4.0782 9.4895
angles (deg): 90.00 90.00 90.00
With the nearest neighbours (Å) after each atom.
Element x y z (fractional)
Pa1 0.0000 0.0000 0.0000  4 Fe 3.13, 4 Ru 3.13, 8 Si 3.13
Pa2 0.5000 0.5000 0.5000  4 Fe 3.13, 4 Ru 3.13, 8 Si 3.13
Fe1 0.0000 0.5000 0.7500  4 Si 2.34
Fe2 0.5000 0.0000 0.2500  4 Si 2.34
Si1 0.0000 0.0000 0.3714  2 Fe 2.34, 2 Ru 2.34, 1 Si 2.44
Si2 0.0000 0.0000 0.6286  2 Fe 2.34, 2 Ru 2.34, 1 Si 2.44
Si3 0.5000 0.5000 0.1286  2 Fe 2.34, 2 Ru 2.34, 1 Si 2.44
Si4 0.5000 0.5000 0.8714  2 Fe 2.34, 2 Ru 2.34, 1 Si 2.44
Ru1 0.0000 0.5000 0.2500  4 Si 2.34
Ru2 0.5000 0.0000 0.7500  4 Si 2.34